1.
TiOsCl2 | GGA-PBE | relaxed

## Properties
- Calculated total energy: -5.04 eV/atom
- Raw formation energy: 0.67 eV per atom
- Volume: 153.8 Å³ per cell
- Distance to the lowest polymorph of the same formula: 0.765 eV/atom
- SG: I-42d

Unit cell a=5.433 b=5.433 c=6.473 alpha=65.18 beta=65.18 gamma=90.00
Element x y z (fractional)
Cl  0.628  0.125  0.250
Cl  0.122  0.625  0.250
Cl  0.375  0.372  0.750
Cl  0.875  0.878  0.750
Os  0.000  0.000  0.000
Os  0.750  0.250  0.500
Ti  0.500  0.500  0.000
Ti  0.250  0.750  0.500


2.
PrU2Se5 | GGA-PBE | relaxed

## Properties
- Calculated total energy: -6.94 eV/atom
- Raw formation energy: -1.34 eV per atom
- Volume: 380.7 Å³ per cell
- Distance to the lowest polymorph of the same formula: 0.000 eV/atom
- SG: I4/mcm

Unit cell a=7.458 b=7.458 c=8.640 alpha=115.57 beta=115.57 gamma=90.00
Each line ends with the local moment (μB).
Element x y z (fractional)
Pr  0.750  0.750  0.500  0.00
Pr  0.250  0.250  0.500  0.00
U  0.116  0.384  0.000  0.49
U  0.616  0.116  0.000  0.49
U  0.384  0.884  0.000  0.49
U  0.884  0.616  0.000  0.49
Se  0.526  0.686  0.712  -0.01
Se  0.814  0.974  0.288  -0.01
Se  0.000  0.000  0.000  -0.02
Se  0.500  0.500  0.000  -0.02
Se  0.186  0.026  0.712  -0.01
Se  0.686  0.186  0.712  -0.01
Se  0.026  0.526  0.712  -0.01
Se  0.314  0.814  0.288  -0.01
Se  0.974  0.474  0.288  -0.01
Se  0.474  0.314  0.288  -0.01


3.
Dy3Tm6Zr | GGA-PBE | relaxed

## Properties
- Calculated total energy: -4.77 eV/atom
- Volume: 607.9 Å³ per cell
- Distance to the lowest polymorph of the same formula: 0.000 eV/atom
- SG: Cmc2_1

Unit cell a=6.051 b=10.753 c=10.753 alpha=119.69 beta=90.00 gamma=90.00
Element x y z (fractional)
Dy  0.443  0.944  0.718
Dy  0.943  0.718  0.944
Dy  0.063  0.387  0.613
Dy  0.563  0.613  0.387
Dy  0.943  0.056  0.282
Dy  0.443  0.282  0.056
Tm  0.032  0.707  0.618
Tm  0.532  0.618  0.707
Tm  0.377  0.542  0.958
Tm  0.877  0.958  0.542
Tm  0.421  0.948  0.052
Tm  0.645  0.275  0.725
Tm  0.145  0.725  0.275
Tm  0.921  0.052  0.948
Tm  0.377  0.042  0.458
Tm  0.877  0.458  0.042
Tm  0.032  0.382  0.293
Tm  0.532  0.293  0.382
Zr  0.151  0.210  0.790
Zr  0.651  0.790  0.210


4.
Tb3Pr2Nd6Ho | GGA-PBE | relaxed

## Properties
- Calculated total energy: -4.71 eV/atom
- Volume: 410.3 Å³ per cell
- SG: C2/m

Unit cell a=6.319 b=6.319 c=12.049 alpha=95.02 beta=95.02 gamma=120.00
Element x y z (fractional)
Tb  0.166  0.834  0.500
Tb  0.834  0.166  0.500
Tb  0.500  0.500  0.500
Pr  0.333  0.667  0.000
Pr  0.667  0.333  0.000
Nd  0.916  0.584  0.747
Nd  0.752  0.752  0.253
Nd  0.084  0.416  0.253
Nd  0.584  0.916  0.747
Nd  0.248  0.248  0.747
Nd  0.416  0.084  0.253
Ho  0.000  0.000  0.000


5.
Ti5Mn4Sn | GGA-PBE | relaxed

## Properties
- Calculated total energy: -8.25 eV/atom
- Volume: 145.6 Å³ per cell
- SG: P4/mmm

Unit cell a=3.016 b=3.016 c=16.006 alpha=90.00 beta=90.00 gamma=90.00
Each line ends with the local moment (μB).
Element x y z (fractional)
Ti  0.500  0.500  0.136  -0.04
Ti  0.500  0.500  0.315  -0.21
Ti  0.500  0.500  0.500  -0.34
Ti  0.500  0.500  0.685  -0.21
Ti  0.500  0.500  0.864  -0.04
Mn  0.000  0.000  0.219  0.17
Mn  0.000  0.000  0.408  0.97
Mn  0.000  0.000  0.592  0.97
Mn  0.000  0.000  0.781  0.17
Sn  0.000  0.000  0.000  0.00


6.
Ho2Tl2Hg | GGA-PBE | relaxed

## Properties
- Calculated total energy: -2.99 eV/atom
- Volume: 281.5 Å³ per cell
- Distance to the lowest polymorph of the same formula: 0.078 eV/atom
- SG: Ibam

Unit cell a=6.528 b=6.337 c=8.185 alpha=112.78 beta=113.50 gamma=90.00
Element x y z (fractional)
Ho  0.328  0.507  0.656
Ho  0.672  0.493  0.344
Ho  0.172  0.851  0.344
Ho  0.828  0.149  0.656
Tl  0.901  0.756  0.803
Tl  0.099  0.244  0.197
Tl  0.599  0.953  0.197
Tl  0.401  0.047  0.803
Hg  0.750  0.500  0.000
Hg  0.250  0.500  0.000


7.
LiBiS | GGA-PBE | relaxed

## Properties
- Calculated total energy: -3.92 eV/atom
- Raw formation energy: -0.61 eV per atom
- Volume: 290.7 Å³ per cell
- SG: P4_2/mmc

Unit cell a=4.553 b=7.990 c=7.990 alpha=90.00 beta=90.00 gamma=90.00
Element x y z (fractional)
S  0.000  0.500  0.768
S  0.500  0.232  0.500
S  0.500  0.768  0.500
S  0.000  0.500  0.232
Li  0.000  0.684  0.500
Li  0.500  0.500  0.684
Li  0.500  0.500  0.316
Li  0.000  0.316  0.500
Bi  0.000  0.771  0.000
Bi  0.500  0.000  0.771
Bi  0.500  0.000  0.229
Bi  0.000  0.229  0.000


8.
Li2CdSnHg2 | GGA-PBE | relaxed

## Properties
- Calculated total energy: -1.79 eV/atom
- Volume: 125.8 Å³ per cell
- SG: P-3m1

Unit cell a=4.904 b=4.904 c=6.041 alpha=90.00 beta=90.00 gamma=120.00
Element x y z (fractional)
Li  0.333  0.667  0.745
Li  0.667  0.333  0.255
Cd  0.000  0.000  0.000
Sn  0.000  0.000  0.500
Hg  0.333  0.667  0.242
Hg  0.667  0.333  0.758


9.
ScHOsRh2 | GGA-PBE | relaxed

## Properties
- Calculated total energy: -7.42 eV/atom
- Volume: 63.3 Å³ per cell
- SG: P4/mmm

Unit cell a=3.990 b=3.990 c=3.979 alpha=90.00 beta=90.00 gamma=90.00
Element x y z (fractional)
Sc  0.500  0.500  0.500
Rh  0.000  0.500  0.000
Rh  0.500  0.000  0.000
Os  0.000  0.000  0.500
H  0.000  0.000  0.000


10.
Rb2NaGaBr6 | GGA-PBE | relaxed

## Properties
- Calculated total energy: -2.93 eV/atom
- Raw formation energy: -1.30 eV per atom
- Volume: 332.0 Å³ per cell
- SG: Fm-3m

Unit cell a=7.772 b=7.772 c=7.772 alpha=60.00 beta=60.00 gamma=60.00
Element x y z (fractional)
Na  0.000  0.000  0.000
Ga  0.500  0.500  0.500
Br  0.266  0.734  0.734
Br  0.734  0.266  0.734
Br  0.266  0.734  0.266
Br  0.266  0.266  0.734
Br  0.734  0.734  0.266
Br  0.734  0.266  0.266
Rb  0.250  0.250  0.250
Rb  0.750  0.750  0.750


11.
Y2MnRh | GGA-PBE | relaxed

## Properties
- Calculated total energy: -7.65 eV/atom
- Volume: 84.4 Å³ per cell
- SG: P4/mmm

Unit cell a=4.899 b=4.899 c=3.518 alpha=90.01 beta=90.01 gamma=89.96
Each line ends with the local moment (μB).
Element x y z (fractional)
Mn  0.500  0.000  0.500  3.36
Rh  0.000  0.500  0.500  0.15
Y  0.000  0.000  0.000  -0.14
Y  0.500  0.500  0.000  -0.14


12.
BaInCl3 | GGA-PBE | relaxed

## Properties
- Calculated total energy: -3.69 eV/atom
- Raw formation energy: -1.65 eV per atom
- Volume: 216.5 Å³ per cell
- SG: Pm-3m

Unit cell a=6.004 b=6.004 c=6.004 alpha=90.00 beta=90.00 gamma=90.00
Element x y z (fractional)
Cl  0.000  0.500  0.000
Cl  0.000  0.000  0.500
Cl  0.500  0.000  0.000
Ba  0.000  0.000  0.000
In  0.500  0.500  0.500